# TbEr2Ni

A relaxed structure of TbEr2Ni (GGA-PBE, Alexandria via LeMat-Bulk).

Structure (CIF):
```
data_TbEr2Ni
_cell_length_a 3.6258
_cell_length_b 3.6258
_cell_length_c 28.1622
_cell_angle_alpha 90.00
_cell_angle_beta 90.00
_cell_angle_gamma 120.00
_space_group_name_H-M_alt 'R -3 m'
_space_group_IT_number 166
_space_group_name_Hall '-R 3 2"'
loop_
_atom_site_label
_atom_site_fract_x
_atom_site_fract_y
_atom_site_fract_z
_atom_site_occupancy
Tb1 0.0000 0.0000 0.0000 1
Er1 0.0000 0.0000 0.2273 1
Ni1 0.0000 0.0000 0.5000 1
```

Calculated values
- E: -4.976 eV per atom
- Calculated formation energy: -9 kJ per mole of atoms

# TbEr2Ni

A relaxed structure of TbEr2Ni (GGA-PBE, Alexandria via LeMat-Bulk).

Structure (CIF):
```
data_TbEr2Ni
_cell_length_a 3.406
_cell_length_b 3.406
_cell_length_c 8.640
_cell_angle_alpha 90.00
_cell_angle_beta 90.00
_cell_angle_gamma 90.00
_space_group_name_H-M_alt 'P 4/m m m'
_space_group_IT_number 123
_space_group_name_Hall '-P 4 2'
loop_
_atom_site_label
_atom_site_fract_x
_atom_site_fract_y
_atom_site_fract_z
_atom_site_occupancy
Tb1 0.000 0.000 0.000 1
Er1 0.500 0.500 0.314 1
Ni1 0.000 0.000 0.500 1
```

Calculated values
- E: -5.073 eV per atom
- Calculated formation energy: -18 kJ per mole of atoms

# TbEr6Ni2

A relaxed structure of TbEr6Ni2 (GGA-PBE, Alexandria via LeMat-Bulk).

Structure (CIF):
```
data_TbEr6Ni2
_cell_length_a 9.029
_cell_length_b 10.095
_cell_length_c 10.191
_cell_angle_alpha 90.00
_cell_angle_beta 90.00
_cell_angle_gamma 90.00
_space_group_name_H-M_alt 'I m m m'
_space_group_IT_number 71
_space_group_name_Hall '-I 2 2'
loop_
_atom_site_label
_atom_site_fract_x
_atom_site_fract_y
_atom_site_fract_z
_atom_site_occupancy
Tb1 0.000 0.000 0.000 1
Tb2 0.000 0.000 0.500 1
Er1 0.000 0.220 0.223 1
Er2 0.197 0.308 0.500 1
Er3 0.198 0.500 0.190 1
Ni1 0.000 0.371 0.000 1
Ni2 0.000 0.500 0.381 1
```

Calculated values
- E: -4.977 eV per atom
- Calculated formation energy: -13 kJ per mole of atoms

# Tb6Er2Ni

A relaxed structure of Tb6Er2Ni (GGA-PBE, Alexandria via LeMat-Bulk).

Structure (CIF):
```
data_Tb6Er2Ni
_cell_length_a 8.539
_cell_length_b 3.650
_cell_length_c 8.706
_cell_angle_alpha 90.00
_cell_angle_beta 93.25
_cell_angle_gamma 90.00
_space_group_name_H-M_alt 'P 1 2/m 1'
_space_group_IT_number 10
loop_
_space_group_symop_operation_xyz
'x,y,z'
'-x,-y,-z'
'-x,y,-z'
'x,-y,z'
loop_
_atom_site_label
_atom_site_fract_x
_atom_site_fract_y
_atom_site_fract_z
_atom_site_occupancy
Tb1 0.033 0.000 0.198 1
Tb2 0.230 0.500 0.559 1
Tb3 0.440 0.000 0.282 1
Er1 0.299 0.500 0.963 1
Ni1 0.000 0.000 0.500 1
```

Calculated values
- E: -4.774 eV per atom
- Calculated formation energy: -3 kJ per mole of atoms